The following is a PBE calculation of an optimized crystal structure of TcIF2, from Alexandria.

a = 4.5303 Å, b = 4.5303 Å, c = 4.5303 Å
α = 60.00°, β = 60.00°, γ = 60.00°
Last column: nearest neighbours and their distance in Å.
Fractional positions:
1 Tc 0.0000 0.0000 0.0000  8 F 2.77
2 I 0.5000 0.5000 0.5000  8 F 2.77
3 F 0.2500 0.2500 0.2500  4 Tc 2.77, 4 I 2.77
4 F 0.7500 0.7500 0.7500  4 Tc 2.77, 4 I 2.77

Summary:
* energy relative to the elements, uncorrected: -0.178 eV per atom
* symmetry: Fm-3m (225)
* energy: -4.092 eV per atom
* magnetization: 4.00 μB per formula unit
* N(E_F): 0.350 states/eV per atom